[1]
Compound: BaNa2OsO5
Source: the Alexandria database
Functional: PBE
Structure: optimized geometry

## Properties
Its formation energy from raw total energies is -14.93 eV per formula unit.

a b c (Å): 6.670 6.670 6.670
angles (deg): 146.47 127.56 63.69
Sites, in units of the cell vectors:
1 Ba 0.000 0.000 0.000
2 Na 0.279 0.779 0.500
3 Na 0.721 0.221 0.500
4 Os 0.500 0.500 0.000
5 O 0.145 0.379 0.766
6 O 0.386 0.621 0.766
7 O 0.500 0.000 0.500
8 O 0.614 0.379 0.234
9 O 0.855 0.621 0.234

***

[2]
Compound: Ca6Bi4Sb
Source: the Alexandria database
Functional: PBE
Structure: optimized geometry

## Properties
Its formation energy from raw total energies is -8.42 eV per formula unit.

a b c (Å): 9.962 9.962 9.962
angles (deg): 142.32 142.32 54.35
Sites, in units of the cell vectors:
1 Ca 0.000 0.500 0.500
2 Ca 0.115 0.115 0.585
3 Ca 0.469 0.885 0.000
4 Ca 0.500 0.000 0.500
5 Ca 0.531 0.531 0.415
6 Ca 0.885 0.469 0.000
7 Bi 0.058 0.670 0.000
8 Bi 0.330 0.330 0.388
9 Bi 0.670 0.058 0.000
10 Bi 0.942 0.942 0.612
11 Sb 0.500 0.500 0.000

***

> Which formula does entry 1 have?

BaNa2OsO5

***

> Which value of formation energy from raw total energies does entry 2 give?

-8.42 eV per formula unit